# Ac6Tl2Pb3

A relaxed Ac6Tl2Pb3 crystal (GGA-PBE, Alexandria).

```
11
Lattice="6.4013 0.0000 0.0000 0.0000 6.4013 0.0000 -3.2007 -3.2007 11.5901" Properties=species:S:1:pos:R:3 pbc="T T T"
Tl 0.0000 0.0000 10.1160
Ac 0.0000 0.0000 6.8201
Pb 0.0000 0.0000 0.0000
Tl 3.2007 3.2007 1.4740
Ac 3.2007 0.0000 9.6133
Ac 3.2007 3.2007 4.7699
Ac 3.2007 0.0000 1.9768
Ac 0.0000 3.2006 9.6133
Ac 0.0000 3.2007 1.9768
Pb 3.2007 3.2007 8.0508
Pb 0.0000 0.0000 3.5393
```

Computed properties:
Its total magnetization is 0.0 Bohr magnetons per cell. The space group is I4/mmm.

---

# Ac3TlPb2

A relaxed Ac3TlPb2 crystal (GGA-PBE, Alexandria).

```
12
Lattice="6.9863 0.0000 0.0000 0.0000 6.9443 -0.1093 -3.4931 -1.8266 8.9255" Properties=species:S:1:pos:R:3 pbc="T T T"
Ac 4.4927 1.7361 -0.0273
Tl 6.0311 5.2083 -0.0820
Ac 0.8095 0.1573 3.0741
Pb 4.2526 -0.2163 2.8272
Pb 2.7336 3.2559 2.7726
Pb -0.7595 5.3340 5.9889
Pb 0.7595 1.8618 6.0436
Tl 0.9551 1.7361 -0.0273
Ac -0.8095 3.6294 3.0194
Ac 4.3026 1.4883 5.7967
Ac 2.6837 4.9605 5.7421
Ac 2.4935 5.2083 -0.0820
```

Computed properties:
Its total magnetization is 0.0 Bohr magnetons per cell. The space group is C2/c. The value obtained for the energy above the most stable polymorph in this dataset is 25 meV/atom.

---

# Ac8Tl6Pb

A relaxed Ac8Tl6Pb crystal (GGA-PBE, Alexandria).

```
15
Lattice="-1.6364 5.0100 -8.9135 -9.6089 0.8750 -3.7590 -4.5290 7.5859 -0.9197" Properties=species:S:1:pos:R:3 pbc="T T T"
Ac -3.7899 2.2600 -4.0489
Tl -10.1548 7.0233 -3.9329
Tl -9.0994 9.7965 -8.4034
Tl -5.6196 6.4475 -9.6593
Ac -11.9845 11.2108 -9.5433
Ac -11.7651 7.8750 -6.9279
Tl -6.6750 3.6744 -5.1888
Ac -10.1761 3.8432 -5.1379
Ac -8.9878 7.2487 -10.6534
Ac -5.5983 9.6277 -8.4543
Ac -6.7865 6.2221 -2.9388
Tl -5.1047 8.4102 -5.1003
Tl -10.6697 5.0607 -8.4918
Pb 0.0000 0.0000 0.0000
Ac -4.0093 5.5959 -6.6643
```

Computed properties:
Its total magnetization is 0.0 Bohr magnetons per cell. The space group is R-3.

---

# AcTl3Pb3

A relaxed AcTl3Pb3 crystal (GGA-PBE, Alexandria).

```
14
Lattice="8.3925 0.0000 0.0000 0.0000 8.3925 0.0000 0.0000 0.0000 8.3925" Properties=species:S:1:pos:R:3 pbc="T T T"
Tl 2.0981 4.1963 0.0000
Pb 0.0000 4.1963 6.2944
Pb 0.0000 4.1963 2.0981
Pb 4.1963 2.0981 0.0000
Pb 2.0981 0.0000 4.1963
Tl 4.1963 0.0000 6.2944
Pb 4.1963 6.2944 0.0000
Tl 0.0000 2.0981 4.1963
Tl 6.2944 4.1963 0.0000
Ac 4.1963 4.1963 4.1963
Tl 4.1963 0.0000 2.0981
Ac 0.0000 0.0000 0.0000
Tl 0.0000 6.2944 4.1963
Pb 6.2944 0.0000 4.1963
```

Computed properties:
Its total magnetization is 0.0 Bohr magnetons per cell. The space group is Pm-3n.

---

Number 1: ΔH_f (0 K) -89 meV per atom, volume 474.9 Å³/cell. Number 2: ΔH_f (0 K) -410 meV per atom, volume 431.6 Å³/cell. Number 3: ΔH_f (0 K) -221 meV per atom, volume 610.1 Å³/cell. Number 4: ΔH_f (0 K) 410 meV per atom, volume 591.1 Å³/cell.